## K2CrBr (GGA-PBE)

Data for a relaxed structure of K2CrBr.

abc: 3.9785 4.0231 8.8465
angles: 90.00 90.00 90.00
With the nearest neighbours (Å) after each atom.
Element x y z (fractional)
K (0.0000, 0.0000, 0.2218)  4 Br 3.44, 4 Cr 3.75
K (0.0000, 0.0000, 0.7782)  4 Br 3.44, 4 Cr 3.75
Cr (0.5000, 0.5000, 0.5000)  8 K 3.75, 4 Cr 3.98-4.02
Br (0.5000, 0.5000, 0.0000)  8 K 3.44

Output
Uncorrected energy (eV/atom): -3.553
Symmetry: No. 47
Offset from the most stable computed form (meV/atom): 0

## KCrBr2 (GGA-PBE)

Data for a relaxed structure of KCrBr2.

abc: 4.1108 4.1108 7.5161
angles: 90.00 90.00 90.08
With the nearest neighbours (Å) after each atom.
Element x y z (fractional)
K (0.0000, 0.0000, 0.0000)  5 Br 3.16-3.25
Cr (0.5000, 0.5000, 0.4798)  5 Br 2.66-2.93
Br (0.0000, 0.0000, 0.4328)  4 Cr 2.93, 1 K 3.25
Br (0.5000, 0.5000, 0.8343)  1 Cr 2.66

Output
Uncorrected energy (eV/atom): -4.222
Symmetry: No. 35
Offset from the most stable computed form (meV/atom): 67

## KCr2Br (GGA-PBE)

Data for a relaxed structure of KCr2Br.

abc: 3.6416 6.5221 4.9965
angles: 90.00 90.03 90.00
With the nearest neighbours (Å) after each atom.
Element x y z (fractional)
K (0.0000, 0.0000, 0.0000)  4 Br 3.09
Cr (0.2651, 0.5000, 0.7458)  4 Cr 2.99-3.19
Cr (0.7349, 0.5000, 0.2542)  4 Cr 2.99-3.19
Br (0.5000, 0.0000, 0.5000)  4 K 3.09

Output
Uncorrected energy (eV/atom): -4.919
Symmetry: No. 10
Offset from the most stable computed form (meV/atom): 425

## KCr2Br (GGA-PBE)

Data for a relaxed structure of KCr2Br.

abc: 3.5779 3.5779 10.3427
angles: 90.00 90.00 118.92
With the nearest neighbours (Å) after each atom.
Element x y z (fractional)
K (0.0000, 0.0000, 0.0000)  6 K 3.58-3.64, 4 Cr 3.59
Cr (0.5000, 0.5000, 0.2993)  2 Br 2.76
Cr (0.5000, 0.5000, 0.7007)  2 Br 2.76
Br (0.0000, 0.0000, 0.5000)  4 Cr 2.76

Output
Uncorrected energy (eV/atom): -4.692
Symmetry: No. 65
Offset from the most stable computed form (meV/atom): 652

## KCrBr2 (GGA-PBE)

Data for a relaxed structure of KCrBr2.

abc: 5.5467 5.5467 3.8591
angles: 101.05 101.05 89.59
With the nearest neighbours (Å) after each atom.
Element x y z (fractional)
K (0.0000, 0.0000, 0.0000)  4 Br 3.06
Cr (0.5000, 0.5000, 0.0000)  4 Br 3.06
Br (0.0000, 0.5000, 0.5000)  2 Cr 3.06, 2 K 3.06
Br (0.5000, 0.0000, 0.5000)  2 Cr 3.06, 2 K 3.06

Output
Uncorrected energy (eV/atom): -4.101
Symmetry: No. 12
Offset from the most stable computed form (meV/atom): 187

## K2CrBr (GGA-PBE)

Data for a relaxed structure of K2CrBr.

abc: 4.5743 4.5743 9.5241
angles: 103.34 103.34 59.11
With the nearest neighbours (Å) after each atom.
Element x y z (fractional)
K (0.2382, 0.2382, 0.2190)  3 Br 3.31-3.32, 3 Cr 3.67-3.69
K (0.7618, 0.7618, 0.7810)  3 Br 3.31-3.32, 3 Cr 3.67-3.69
Cr (0.0000, 0.0000, 0.5000)  6 K 3.67-3.69
Br (0.5000, 0.5000, 0.0000)  6 K 3.31-3.32

Output
Uncorrected energy (eV/atom): -3.511
Symmetry: No. 12
Offset from the most stable computed form (meV/atom): 42

## KCrBr2 (GGA-PBE)

Data for a relaxed structure of KCrBr2.

abc: 5.4562 5.4562 5.4562
angles: 60.00 60.00 60.00
With the nearest neighbours (Å) after each atom.
Element x y z (fractional)
K (0.0000, 0.0000, 0.0000)  4 Cr 3.34, 4 Br 3.34
Cr (0.2500, 0.2500, 0.2500)  4 Br 3.34, 4 K 3.34
Br (0.5000, 0.5000, 0.5000)  4 Br 3.34, 4 Cr 3.34
Br (0.7500, 0.7500, 0.7500)  4 Br 3.34, 4 K 3.34

Output
Uncorrected energy (eV/atom): -3.657
Symmetry: No. 216
Offset from the most stable computed form (meV/atom): 632

## KCrBr2 (GGA-PBE)

Data for a relaxed structure of KCrBr2.

abc: 8.2778 8.2778 8.2778
angles: 132.24 132.24 69.85
With the nearest neighbours (Å) after each atom.
Element x y z (fractional)
K (0.0000, 0.0000, 0.0000)  4 Br 3.22
K (0.7500, 0.2500, 0.5000)  4 Br 3.22
Cr (0.2500, 0.7500, 0.5000)  4 Br 2.66
Cr (0.5000, 0.5000, 0.0000)  4 Br 2.66
Br (0.1981, 0.6250, 0.0731)  2 Cr 2.66
Br (0.3750, 0.4481, 0.5731)  2 Cr 2.66
Br (0.5519, 0.1250, 0.9269)  2 Cr 2.66
Br (0.8750, 0.8019, 0.4269)  2 Cr 2.66

Output
Uncorrected energy (eV/atom): -4.264
Symmetry: No. 122
Offset from the most stable computed form (meV/atom): 25

## K2CrBr (GGA-PBE)

Data for a relaxed structure of K2CrBr.

abc: 7.9301 7.9301 7.9301
angles: 110.73 110.73 106.98
With the nearest neighbours (Å) after each atom.
Element x y z (fractional)
K (0.0853, 0.6250, 0.9603)  2 Br 3.17
K (0.3750, 0.3353, 0.4603)  2 Br 3.17
K (0.6647, 0.1250, 0.0397)  2 Br 3.17
K (0.8750, 0.9147, 0.5397)  2 Br 3.17
Cr (0.2500, 0.7500, 0.5000)  4 K 3.65
Cr (0.5000, 0.5000, 0.0000)  4 K 3.65
Br (0.0000, 0.0000, 0.0000)  4 K 3.17
Br (0.7500, 0.2500, 0.5000)  4 K 3.17

Output
Uncorrected energy (eV/atom): -3.421
Symmetry: No. 122
Offset from the most stable computed form (meV/atom): 132

## KCrBr2 (GGA-PBE)

Data for a relaxed structure of KCrBr2.

abc: 4.5451 4.5451 7.1796
angles: 101.26 101.26 65.57
With the nearest neighbours (Å) after each atom.
Element x y z (fractional)
K (0.0000, 0.0000, 0.0000)  6 Br 3.28-3.33
Cr (0.5000, 0.5000, 0.5000)  2 Br 2.54
Br (0.2884, 0.2884, 0.7249)  1 Cr 2.54
Br (0.7116, 0.7116, 0.2751)  1 Cr 2.54

Output
Uncorrected energy (eV/atom): -4.273
Symmetry: No. 12
Offset from the most stable computed form (meV/atom): 16

## K2CrBr (GGA-PBE)

Data for a relaxed structure of K2CrBr.

abc: 5.9681 5.9681 5.9681
angles: 60.00 60.00 60.00
With the nearest neighbours (Å) after each atom.
Element x y z (fractional)
K (0.0000, 0.0000, 0.0000)  4 K 3.65, 4 Br 3.65
K (0.2500, 0.2500, 0.2500)  4 Cr 3.65, 4 K 3.65
Cr (0.5000, 0.5000, 0.5000)  4 Br 3.65, 4 K 3.65
Br (0.7500, 0.7500, 0.7500)  4 Cr 3.65, 4 K 3.65

Output
Uncorrected energy (eV/atom): -3.213
Symmetry: No. 216
Offset from the most stable computed form (meV/atom): 340

## K3Cr2Br9 (GGA-PBE)

Data for a relaxed structure of K3Cr2Br9.

abc: 7.3709 7.3709 9.1610
angles: 90.00 90.00 120.00
With the nearest neighbours (Å) after each atom.
Element x y z (fractional)
K (0.0000, 0.0000, 0.0000)  12 Br 3.68-3.69
K (0.3333, 0.6667, 0.3471)  12 Br 3.66-3.83
K (0.6667, 0.3333, 0.6529)  12 Br 3.66-3.83
Cr (0.3333, 0.6667, 0.8251)  6 Br 2.44-2.66
Cr (0.6667, 0.3333, 0.1749)  6 Br 2.44-2.66
Br (0.0000, 0.5000, 0.0000)  2 Cr 2.66
Br (0.1737, 0.3474, 0.6788)  1 Cr 2.44
Br (0.1737, 0.8263, 0.6788)  1 Cr 2.44
Br (0.3474, 0.1737, 0.3212)  1 Cr 2.44
Br (0.5000, 0.0000, 0.0000)  2 Cr 2.66
Br (0.5000, 0.5000, 0.0000)  2 Cr 2.66
Br (0.6526, 0.8263, 0.6788)  1 Cr 2.44
Br (0.8263, 0.1737, 0.3212)  1 Cr 2.44
Br (0.8263, 0.6526, 0.3212)  1 Cr 2.44

Output
Uncorrected energy (eV/atom): -3.826
Symmetry: No. 164

> Number 10 is which compound?

KCrBr2

> Among the records above, which one has the lowest uncorrected energy?

number 3